[1]
DFT (PBE) results for a geometry-optimized Li2ZnSiO4 structure.

Values from the calculation:
Total energy: -6.0765 eV per atom

Cell lengths 5.011, 10.623, 7.960 Å; angles 90.00, 128.30, 90.00 degrees
Atoms (fractional coordinates):
Li  0.318  0.164  0.006
Li  0.538  0.923  0.241
Li  0.462  0.423  0.259
Li  0.682  0.664  0.494
Li  0.318  0.336  0.506
Li  0.538  0.577  0.741
Li  0.462  0.077  0.759
Li  0.682  0.836  0.994
O  0.819  0.660  0.029
O  0.742  0.160  0.037
O  0.947  0.942  0.244
O  0.607  0.588  0.249
O  0.393  0.088  0.251
O  0.053  0.442  0.256
O  0.258  0.660  0.463
O  0.181  0.160  0.471
O  0.819  0.840  0.529
O  0.742  0.340  0.537
O  0.947  0.558  0.744
O  0.607  0.912  0.749
O  0.393  0.412  0.751
O  0.053  0.058  0.756
O  0.258  0.840  0.963
O  0.181  0.340  0.971
Si  0.935  0.587  0.248
Si  0.065  0.087  0.252
Si  0.935  0.913  0.748
Si  0.065  0.413  0.752
Zn  0.192  0.665  0.001
Zn  0.808  0.165  0.499
Zn  0.192  0.835  0.501
Zn  0.808  0.335  0.999

[2]
DFT (PBE) results for a geometry-optimized Li2ZnSiO4 structure.

Values from the calculation:
Total energy: -6.0847 eV per atom

Cell lengths 4.967, 5.322, 7.961 Å; angles 90.00, 128.37, 90.00 degrees
Atoms (fractional coordinates):
Li  0.248  0.825  0.248
Li  0.498  0.341  0.500
Li  0.248  0.175  0.748
Li  0.498  0.659  0.000
O  0.897  0.622  0.001
O  0.116  0.183  0.218
O  0.675  0.814  0.282
O  0.335  0.678  0.499
O  0.897  0.378  0.501
O  0.116  0.817  0.718
O  0.675  0.186  0.782
O  0.335  0.322  0.999
Si  0.004  0.671  0.500
Si  0.004  0.329  0.000
Zn  0.753  0.168  0.252
Zn  0.753  0.832  0.752

[3]
DFT (PBE) results for a geometry-optimized Li2Sm2O5 structure.

Values from the calculation:
Total energy: -6.4526 eV per atom

Cell lengths 7.050, 3.727, 3.727 Å; angles 90.00, 90.00, 90.00 degrees
Last column: magnetic moment on the atom in μB.
Atoms (fractional coordinates):
Li  0.246  0.500  0.500  0.01
Li  0.754  0.500  0.500  0.01
O  0.214  0.500  0.000  0.35
O  0.786  0.500  0.000  0.34
O  0.214  0.000  0.500  0.38
O  0.786  0.000  0.500  0.38
O  0.500  0.500  0.500  0.32
Sm  0.000  0.000  0.000  -0.03
Sm  0.500  0.000  0.000  -0.04

[4]
DFT (PBE) results for a geometry-optimized Li2Sm2O5 structure.

Values from the calculation:
Total energy: -6.1856 eV per atom

Cell lengths 8.165, 4.186, 4.186 Å; angles 90.00, 90.00, 90.00 degrees
Last column: magnetic moment on the atom in μB.
Atoms (fractional coordinates):
Li  0.000  0.000  0.000  -0.01
Li  0.500  0.000  0.000  0.00
O  0.137  0.500  0.000  0.40
O  0.863  0.500  0.000  0.40
O  0.137  0.000  0.500  0.43
O  0.863  0.000  0.500  0.43
O  0.500  0.500  0.500  0.02
Sm  0.228  0.500  0.500  -0.01
Sm  0.772  0.500  0.500  -0.01

[5]
DFT (PBE) results for a geometry-optimized LiSmO3 structure.

Values from the calculation:
Total energy: -6.0984 eV per atom

Cell lengths 4.793, 4.793, 6.156 Å; angles 67.09, 67.09, 60.00 degrees
Atoms (fractional coordinates):
Li  0.838  0.838  0.486
Li  0.162  0.162  0.514
O  0.095  0.095  0.228
O  0.581  0.095  0.228
O  0.095  0.581  0.228
O  0.905  0.419  0.772
O  0.419  0.905  0.772
O  0.905  0.905  0.772
Sm  0.619  0.619  0.144
Sm  0.381  0.381  0.856

[6]
DFT (PBE) results for a geometry-optimized LiSm2O4 structure.

Values from the calculation:
Total energy: -6.9965 eV per atom

Cell lengths 6.852, 6.852, 6.852 Å; angles 120.00, 89.99, 120.00 degrees
Last column: magnetic moment on the atom in μB.
Atoms (fractional coordinates):
Li  0.000  0.000  0.000  0.00
Li  0.750  0.500  0.250  0.00
O  0.156  0.770  0.385  0.22
O  0.615  0.230  0.385  0.20
O  0.615  0.770  0.385  0.21
O  0.135  0.270  0.406  0.20
O  0.615  0.230  0.844  0.20
O  0.135  0.730  0.865  0.21
O  0.594  0.730  0.865  0.22
O  0.135  0.270  0.865  0.20
Sm  0.375  0.750  0.125  -0.01
Sm  0.875  0.250  0.625  -0.02
Sm  0.375  0.250  0.625  -0.02
Sm  0.375  0.750  0.625  -0.01

[7]
DFT (PBE) results for a geometry-optimized LiSmO3 structure.

Values from the calculation:
Total energy: -6.1658 eV per atom

Cell lengths 3.683, 3.683, 3.709 Å; angles 90.00, 90.00, 90.00 degrees
Last column: magnetic moment on the atom in μB.
Atoms (fractional coordinates):
Li  0.500  0.500  0.577  0.02
O  0.500  0.500  0.081  0.58
O  0.500  0.000  0.587  0.55
O  0.000  0.500  0.587  0.64
Sm  0.000  0.000  0.067  -0.05

[8]
DFT (PBE) results for a geometry-optimized Li2SmO3 structure.

Values from the calculation:
Total energy: -6.0263 eV per atom

Cell lengths 5.769, 5.769, 5.177 Å; angles 99.05, 99.05, 121.67 degrees
Last column: magnetic moment on the atom in μB.
Atoms (fractional coordinates):
Li  0.500  0.500  0.000  -0.01
Li  0.000  0.000  0.500  -0.01
Li  0.626  0.374  0.500  -0.01
Li  0.374  0.626  0.500  -0.01
O  0.247  0.247  0.251  0.20
O  0.889  0.573  0.257  0.31
O  0.573  0.889  0.257  0.34
O  0.427  0.111  0.743  0.34
O  0.111  0.427  0.743  0.31
O  0.753  0.753  0.749  0.20
Sm  0.833  0.167  0.000  -0.02
Sm  0.167  0.833  0.000  -0.02

Which formula does entry 6 have? LiSm2O4

Number 5 is which compound? LiSmO3